VASP calculation (PBE) on a relaxed Li2MgP2O6 crystal.

Unit cell a=5.1485 b=5.1485 c=6.0269 alpha=90.00 beta=90.00 gamma=120.00
Sites, in units of the cell vectors:
Li: 0.3333 0.6667 0.2987
Li: 0.6667 0.3333 0.7013
Mg: 0.0000 0.0000 0.0000
P: 0.3333 0.6667 0.8500
P: 0.6667 0.3333 0.1500
O: 0.0632 0.7037 0.7783
O: 0.2963 0.3594 0.7783
O: 0.3594 0.0632 0.2217
O: 0.6406 0.9368 0.7783
O: 0.7037 0.6406 0.2217
O: 0.9368 0.2963 0.2217

Output
- calculated total energy (eV/atom) = -6.20
- uncorrected formation energy (meV per atom) = -2014.1